Computed, not measured: a relaxed structure of Pu3Np4UAs8 at the GGA-PBE level of DFT.

As for the calculated formation energy: -0.786 eV per atom.

a b c (Å): 8.1931 8.2463 8.1929
angles (deg): 119.79 120.00 90.00
Fractional positions:
U1 0.0000 0.5000 0.0000
As1 0.2493 0.2479 0.4986
As2 0.7523 0.7508 0.0015
As3 0.7507 0.7521 0.5014
As4 0.7508 0.2492 0.5016
As5 0.2492 0.7508 0.0015
As6 0.2492 0.7508 0.4984
As7 0.2477 0.2492 0.9985
As8 0.7508 0.2492 0.9985
Pu1 0.5000 0.5000 0.0000
Pu2 0.0000 0.5000 0.5000
Pu3 0.5000 0.5000 0.5000
Np1 0.0000 0.0000 0.0000
Np2 0.0000 0.0000 0.5000
Np3 0.5000 0.0000 0.0000
Np4 0.5000 0.0000 0.5000



Computed, not measured: a relaxed structure of Pu3NpU4As8 at the GGA-PBE level of DFT.

As for the calculated formation energy: -0.818 eV per atom.

a b c (Å): 8.1631 8.2410 8.1629
angles (deg): 119.68 120.00 90.00
Fractional positions:
Pu1 0.5000 0.5000 0.0000
Pu2 0.5000 0.5000 0.5000
Pu3 0.0000 0.5000 0.5000
As1 0.7513 0.7540 0.5027
As2 0.7522 0.7537 0.0030
As3 0.2507 0.7537 0.5014
As4 0.7493 0.2463 0.9970
As5 0.2487 0.2460 0.4973
As6 0.2507 0.7537 0.0030
As7 0.2478 0.2463 0.9970
As8 0.7493 0.2463 0.4986
U1 0.0000 0.0000 0.5000
U2 0.0000 0.0000 0.0000
U3 0.5000 0.0000 0.0000
U4 0.5000 0.0000 0.5000
Np1 0.0000 0.5000 0.0000



Computed, not measured: a relaxed structure of Pu2Np3UAs6 at the GGA-PBE level of DFT.

As for the calculated formation energy: -0.777 eV per atom.

a b c (Å): 4.0925 8.2552 9.2031
angles (deg): 103.45 102.85 90.00
Fractional positions:
Pu1 0.1652 0.3332 0.3305
Pu2 0.8348 0.6668 0.6695
Np1 0.8313 0.1657 0.6625
Np2 0.5000 0.5000 0.0000
Np3 0.1687 0.8343 0.3375
U1 0.5000 0.0000 0.0000
As1 0.9982 0.2476 0.9965
As2 0.0018 0.7524 0.0035
As3 0.3349 0.9195 0.6699
As4 0.3334 0.4149 0.6669
As5 0.6666 0.5851 0.3331
As6 0.6651 0.0805 0.3301



Computed, not measured: a relaxed structure of YPu2NpAs4 at the GGA-PBE level of DFT.

As for the calculated formation energy: -1.039 eV per atom.

a b c (Å): 4.1197 7.1343 7.1351
angles (deg): 109.45 90.00 90.00
Fractional positions:
As1 0.5000 0.7513 0.7525
As2 0.0000 0.2471 0.7508
As3 0.5000 0.2487 0.2475
As4 0.0000 0.7529 0.2492
Pu1 0.0000 0.5000 0.5000
Pu2 0.5000 0.0000 0.5000
Np1 0.0000 0.0000 0.0000
Y1 0.5000 0.5000 0.0000



Computed, not measured: a relaxed structure of Y2PuNpAs4 at the GGA-PBE level of DFT.

As for the calculated formation energy: -1.177 eV per atom.

a b c (Å): 4.1162 7.1489 7.1291
angles (deg): 109.44 90.00 90.00
Fractional positions:
As1 0.5000 0.2507 0.2473
As2 0.5000 0.7493 0.7527
As3 0.0000 0.2527 0.7521
As4 0.0000 0.7473 0.2479
Y1 0.0000 0.5000 0.5000
Y2 0.5000 0.0000 0.5000
Pu1 0.0000 0.0000 0.0000
Np1 0.5000 0.5000 0.0000



Computed, not measured: a relaxed structure of PuZrNp2As4 at the GGA-PBE level of DFT.

As for the calculated formation energy: -0.886 eV per atom.

a b c (Å): 4.0275 7.0100 7.0159
angles (deg): 109.12 90.00 90.00
Fractional positions:
Zr1 0.0000 0.0000 0.0000
As1 0.0000 0.7573 0.2450
As2 0.5000 0.2400 0.2415
As3 0.0000 0.2427 0.7550
As4 0.5000 0.7600 0.7585
Np1 0.0000 0.5000 0.5000
Np2 0.5000 0.0000 0.5000
Pu1 0.5000 0.5000 0.0000